Entry 1:
A geometry-optimized PmPr7Dy12 structure, computed with PBE.

Output
- energy relative to the lowest polymorph listed for this composition (eV/atom) = 0.3918
- formation enthalpy at 0 K (meV per atom) = 619
- V (Å³ per cell) = 735.3

abc: 9.8481 9.8481 9.8481
angles: 109.47 109.47 109.47
With the nearest neighbours (Å) after each atom.
Positions (direct):
Pm: 0.0000 0.0000 0.0000  12 Dy 4.00
Pr: 0.5000 0.5000 0.0000  12 Dy 4.02-4.04
Pr: 0.0000 0.5000 0.5000  12 Dy 4.02-4.04
Pr: 0.5000 0.0000 0.5000  12 Dy 4.02-4.04
Pr: 0.5000 0.5000 0.5000  6 Dy 2.84
Pr: 0.0000 0.0000 0.5000  6 Dy 2.84
Pr: 0.5000 0.0000 0.0000  6 Dy 2.84
Pr: 0.0000 0.5000 0.0000  6 Dy 2.84
Dy: 0.5027 0.7516 0.7511  2 Pr 2.84
Dy: 0.0005 0.7516 0.2489  2 Pr 2.84
Dy: 0.4973 0.2484 0.2489  2 Pr 2.84
Dy: 0.9995 0.2484 0.7511  2 Pr 2.84
Dy: 0.7511 0.9995 0.2484  2 Pr 2.84
Dy: 0.7511 0.5027 0.7516  2 Pr 2.84
Dy: 0.2489 0.0005 0.7516  2 Pr 2.84
Dy: 0.2489 0.4973 0.2484  2 Pr 2.84
Dy: 0.7516 0.7511 0.5027  2 Pr 2.84
Dy: 0.2484 0.2489 0.4973  2 Pr 2.84
Dy: 0.7516 0.2489 0.0005  2 Pr 2.84
Dy: 0.2484 0.7511 0.9995  2 Pr 2.84

---

Entry 2:
A geometry-optimized Pm2Pr8Dy structure, computed with PBE.

Output
- energy relative to the lowest polymorph listed for this composition (eV/atom) = 0.0000
- formation enthalpy at 0 K (meV per atom) = 106
- V (Å³ per cell) = 395.3

abc: 5.7806 8.3902 9.6116
angles: 115.88 107.50 90.00
With the nearest neighbours (Å) after each atom.
Positions (direct):
Pm: 0.2013 0.7012 0.4025  10 Pr 3.53-3.72
Pm: 0.7987 0.2988 0.5975  10 Pr 3.53-3.72
Pr: 0.6356 0.8410 0.2712  1 Dy 3.32, 3 Pr 3.45-3.64, 3 Pm 3.53-3.63
Pr: 0.3644 0.5698 0.7288  1 Dy 3.32, 3 Pr 3.45-3.64, 3 Pm 3.53-3.63
Pr: 0.1600 0.1600 0.3199  8 Pr 3.58-3.82, 2 Pm 3.67, 2 Dy 3.89
Pr: 0.0000 0.2922 0.0000  7 Pr 3.49-3.64, 2 Pm 3.71-3.72, 2 Dy 3.79
Pr: 0.8400 0.8400 0.6801  8 Pr 3.58-3.82, 2 Pm 3.67, 2 Dy 3.89
Pr: 0.6356 0.4302 0.2712  1 Dy 3.32, 3 Pr 3.45-3.64, 3 Pm 3.53-3.63
Pr: 0.3644 0.1590 0.7288  1 Dy 3.32, 3 Pr 3.45-3.64, 3 Pm 3.53-3.63
Pr: 0.0000 0.7078 0.0000  7 Pr 3.49-3.64, 2 Pm 3.71-3.72, 2 Dy 3.79
Dy: 0.5000 0.0000 0.0000  4 Pr 3.32

---

Entry 3:
A geometry-optimized PmPr12Dy6 structure, computed with PBE.

Output
- energy relative to the lowest polymorph listed for this composition (eV/atom) = 0.0000
- formation enthalpy at 0 K (meV per atom) = 127
- V (Å³ per cell) = 670.2

abc: 8.7531 8.7531 8.7531
angles: 88.86 88.86 88.86
With the nearest neighbours (Å) after each atom.
Positions (direct):
Pm: 0.0000 0.0000 0.0000  6 Dy 3.52, 6 Pr 3.64
Pr: 0.7818 0.5361 0.4326  4 Pr 3.39-3.65, 3 Dy 3.40-3.54
Pr: 0.4326 0.7818 0.5361  4 Pr 3.39-3.65, 3 Dy 3.40-3.54
Pr: 0.5361 0.4326 0.7818  4 Pr 3.39-3.65, 3 Dy 3.40-3.54
Pr: 0.2182 0.4639 0.5674  4 Pr 3.39-3.65, 3 Dy 3.40-3.54
Pr: 0.5674 0.2182 0.4639  4 Pr 3.39-3.65, 3 Dy 3.40-3.54
Pr: 0.4639 0.5674 0.2182  4 Pr 3.39-3.65, 3 Dy 3.40-3.54
Pr: 0.0178 0.1951 0.3631  4 Pr 3.50-3.66, 4 Dy 3.57-3.75, 1 Pm 3.64
Pr: 0.8049 0.6369 0.9822  4 Pr 3.50-3.66, 4 Dy 3.57-3.75, 1 Pm 3.64
Pr: 0.6369 0.9822 0.8049  4 Pr 3.50-3.66, 4 Dy 3.57-3.75, 1 Pm 3.64
Pr: 0.9822 0.8049 0.6369  4 Pr 3.50-3.66, 4 Dy 3.57-3.75, 1 Pm 3.64
Pr: 0.1951 0.3631 0.0178  4 Pr 3.50-3.66, 4 Dy 3.57-3.75, 1 Pm 3.64
Pr: 0.3631 0.0178 0.1951  4 Pr 3.50-3.66, 4 Dy 3.57-3.75, 1 Pm 3.64
Dy: 0.7415 0.9009 0.2976  7 Pr 3.40-3.75, 1 Pm 3.52, 2 Dy 3.56
Dy: 0.7024 0.2585 0.0991  7 Pr 3.40-3.75, 1 Pm 3.52, 2 Dy 3.56
Dy: 0.0991 0.7024 0.2585  7 Pr 3.40-3.75, 1 Pm 3.52, 2 Dy 3.56
Dy: 0.2585 0.0991 0.7024  7 Pr 3.40-3.75, 1 Pm 3.52, 2 Dy 3.56
Dy: 0.2976 0.7415 0.9009  7 Pr 3.40-3.75, 1 Pm 3.52, 2 Dy 3.56
Dy: 0.9009 0.2976 0.7415  7 Pr 3.40-3.75, 1 Pm 3.52, 2 Dy 3.56

---

Entry 4:
A geometry-optimized Pm8Pr2Dy structure, computed with PBE.

Output
- energy relative to the lowest polymorph listed for this composition (eV/atom) = 0.0000
- formation enthalpy at 0 K (meV per atom) = 15
- V (Å³ per cell) = 378.7

abc: 5.1650 8.1723 9.6533
angles: 104.72 105.52 90.00
With the nearest neighbours (Å) after each atom.
Positions (direct):
Pm: 0.5898 0.4520 0.1797  8 Pm 3.63-3.67, 1 Dy 3.63, 3 Pr 3.66-3.67
Pm: 0.3189 0.0909 0.6379  1 Dy 3.64, 8 Pm 3.64-3.67, 3 Pr 3.65
Pm: 0.1352 0.1788 0.2704  7 Pm 3.62-3.67, 2 Dy 3.63, 3 Pr 3.67-3.68
Pm: 0.0450 0.7286 0.0901  9 Pm 3.62-3.67, 2 Dy 3.64, 1 Pr 3.65
Pm: 0.8648 0.8212 0.7296  7 Pm 3.62-3.67, 2 Dy 3.63, 3 Pr 3.67-3.68
Pm: 0.6811 0.9091 0.3621  1 Dy 3.64, 8 Pm 3.64-3.67, 3 Pr 3.65
Pm: 0.4102 0.5480 0.8203  8 Pm 3.63-3.67, 1 Dy 3.63, 3 Pr 3.66-3.67
Pm: 0.9550 0.2714 0.9099  9 Pm 3.62-3.67, 2 Dy 3.64, 1 Pr 3.65
Pr: 0.2269 0.6371 0.4537  10 Pm 3.65-3.68, 2 Pr 3.67
Pr: 0.7731 0.3629 0.5463  10 Pm 3.65-3.68, 2 Pr 3.67
Dy: 0.5000 0.0000 0.0000  12 Pm 3.63-3.64

---

Entry 5:
A geometry-optimized Pm9Pr2Dy structure, computed with PBE.

Output
- formation enthalpy at 0 K (meV per atom) = 16
- V (Å³ per cell) = 412.4

abc: 5.1604 5.1604 15.4867
angles: 90.00 90.00 90.00
With the nearest neighbours (Å) after each atom.
Positions (direct):
Pm: 0.5000 0.5000 0.0000  8 Pm 3.62, 4 Dy 3.65
Pm: 0.5000 0.5000 0.3320  4 Pr 3.65, 8 Pm 3.66
Pm: 0.5000 0.5000 0.6680  4 Pr 3.65, 8 Pm 3.66
Pm: 0.5000 0.0000 0.1643  8 Pm 3.62-3.66, 2 Dy 3.62, 2 Pr 3.66
Pm: 0.5000 0.0000 0.5000  8 Pm 3.65-3.66, 4 Pr 3.66
Pm: 0.5000 0.0000 0.8357  2 Dy 3.62, 8 Pm 3.62-3.66, 2 Pr 3.66
Pm: 0.0000 0.5000 0.1643  8 Pm 3.62-3.66, 2 Dy 3.62, 2 Pr 3.66
Pm: 0.0000 0.5000 0.5000  8 Pm 3.65-3.66, 4 Pr 3.66
Pm: 0.0000 0.5000 0.8357  2 Dy 3.62, 8 Pm 3.62-3.66, 2 Pr 3.66
Pr: 0.0000 0.0000 0.3320  12 Pm 3.65-3.66
Pr: 0.0000 0.0000 0.6680  12 Pm 3.65-3.66
Dy: 0.0000 0.0000 0.0000  12 Pm 3.62-3.65

---

Entry 6:
A geometry-optimized Pm2Pr4Dy structure, computed with PBE.

Output
- energy relative to the lowest polymorph listed for this composition (eV/atom) = 0.0000
- formation enthalpy at 0 K (meV per atom) = 43
- V (Å³ per cell) = 491.0

abc: 8.8196 9.7255 7.2167
angles: 111.69 101.84 111.66
With the nearest neighbours (Å) after each atom.
Positions (direct):
Pm: 0.3381 0.9668 0.7702  7 Pr 3.40-3.70, 1 Dy 3.69
Pm: 0.4783 0.3905 0.5150  4 Pr 3.24-3.59
Pm: 0.0545 0.1218 0.5259  3 Dy 3.61-3.82, 7 Pr 3.66-3.84, 3 Pm 3.72-3.82
Pm: 0.1986 0.5342 0.0178  7 Pr 3.25-3.64
Pr: 0.7525 0.2536 0.7678  4 Pm 3.42-3.82, 3 Dy 3.59-3.80, 5 Pr 3.59-3.77
Pr: 0.9249 0.6701 0.7657  3 Pm 3.42-3.70, 5 Pr 3.59-3.77, 2 Dy 3.68-3.76
Pr: 0.6251 0.8112 0.5137  8 Pr 3.59-3.86, 4 Pm 3.75-3.85, 1 Dy 3.84
Pr: 0.1993 0.5331 0.5160  4 Pm 3.24-3.62, 1 Dy 3.43
Pr: 0.3398 0.9676 0.2670  4 Pm 3.40-3.64, 1 Dy 3.68, 3 Pr 3.71-3.72
Pr: 0.6275 0.8123 0.0119  7 Pr 3.59-3.85, 2 Dy 3.59-3.81, 4 Pm 3.77-3.84
Pr: 0.4774 0.3902 0.0178  4 Pm 3.25-3.63, 1 Pr 3.45, 1 Dy 3.62
Pr: 0.9271 0.6719 0.2690  8 Pr 3.45-3.86, 3 Pm 3.63-3.70, 1 Dy 3.77
Dy: 0.7516 0.2538 0.2651  8 Pr 3.43-3.77, 3 Pm 3.63-3.82, 1 Dy 3.81
Dy: 0.0553 0.1230 0.0269  5 Pm 3.61-3.82, 7 Pr 3.68-3.84, 1 Dy 3.81

---

Question: Among the records above, which one has the lowest formation enthalpy at 0 K?
Answer: Pm8Pr2Dy

---

Question: The highest formation enthalpy at 0 K belongs to which entry?
Answer: PmPr7Dy12